(1)
Density functional theory data (PBE) for a geometry-optimized BaSr2Ni structure.

Summary:
Polymorph energy (0 for the lowest one): 0.421 eV/atom
Symmetry: No. 119
DOS at the Fermi energy: 3.89 states/eV/f.u.
Energy: -9.40 eV/cell
Crystal system: tetragonal

Cell: 6.792 6.792 6.792 Å, 135.20 135.20 65.22°
Fractional coordinates of all 4 atoms:
Ba (0.500, 0.500, 0.000)
Ni (0.750, 0.250, 0.500)
Sr (0.000, 0.000, 0.000)
Sr (0.250, 0.750, 0.500)



(2)
Density functional theory data (PBE) for a geometry-optimized BaSrNi3 structure.

Summary:
Polymorph energy (0 for the lowest one): 0.000 eV/atom
Symmetry: No. 221
DOS at the Fermi energy: 4.44 states/eV/f.u.
Energy: -15.96 eV/cell
Crystal system: cubic

Cell: 5.173 5.173 5.173 Å, 90.00 90.00 90.00°
Fractional coordinates of all 5 atoms:
Sr (0.000, 0.000, 0.000)
Ba (0.500, 0.500, 0.500)
Ni (0.000, 0.500, 0.000)
Ni (0.000, 0.000, 0.500)
Ni (0.500, 0.000, 0.000)



(3)
Density functional theory data (PBE) for a geometry-optimized Ba2SrNi structure.

Summary:
Polymorph energy (0 for the lowest one): 0.047 eV/atom
Symmetry: No. 65
DOS at the Fermi energy: 2.30 states/eV/f.u.
Energy: -11.17 eV/cell
Crystal system: orthorhombic

Cell: 4.422 7.701 7.705 Å, 47.03 90.00 90.00°
Fractional coordinates of all 4 atoms:
Ba (0.000, 0.103, 0.104)
Ba (0.000, 0.397, 0.396)
Ni (0.500, 0.250, 0.250)
Sr (0.500, 0.750, 0.750)



(4)
Density functional theory data (PBE) for a geometry-optimized BaSr2Ni structure.

Summary:
Polymorph energy (0 for the lowest one): 0.065 eV/atom
Symmetry: No. 10
DOS at the Fermi energy: 3.93 states/eV/f.u.
Energy: -10.83 eV/cell
Crystal system: monoclinic

Cell: 4.313 7.264 7.270 Å, 52.22 90.00 90.00°
Fractional coordinates of all 4 atoms:
Ba (0.500, 0.250, 0.250)
Ni (0.500, 0.750, 0.750)
Sr (0.000, 0.903, 0.903)
Sr (0.000, 0.597, 0.597)



(5)
Density functional theory data (PBE) for a geometry-optimized Ba2Sr6Ni structure.

Summary:
Symmetry: No. 225
DOS at the Fermi energy: 6.87 states/eV/f.u.
Energy: -19.95 eV/cell
Crystal system: cubic

Cell: 8.658 8.658 8.659 Å, 59.99 59.99 60.01°
Fractional coordinates of all 9 atoms:
Ba (0.250, 0.250, 0.250)
Ba (0.750, 0.750, 0.750)
Sr (0.258, 0.258, 0.741)
Sr (0.258, 0.742, 0.258)
Sr (0.742, 0.258, 0.742)
Sr (0.742, 0.258, 0.258)
Sr (0.258, 0.742, 0.742)
Sr (0.742, 0.742, 0.259)
Ni (0.500, 0.500, 0.500)



(6)
Density functional theory data (PBE) for a geometry-optimized Ba2SrNi structure.

Summary:
Polymorph energy (0 for the lowest one): 0.478 eV/atom
Symmetry: No. 225
DOS at the Fermi energy: 7.18 states/eV/f.u.
Energy: -9.45 eV/cell
Crystal system: cubic

Cell: 6.083 6.083 6.083 Å, 60.00 60.00 60.00°
Fractional coordinates of all 4 atoms:
Sr (0.500, 0.500, 0.500)
Ba (0.250, 0.250, 0.250)
Ba (0.750, 0.750, 0.750)
Ni (0.000, 0.000, 0.000)



(7)
Density functional theory data (PBE) for a geometry-optimized BaSrNi structure.

Summary:
Polymorph energy (0 for the lowest one): 0.136 eV/atom
Symmetry: No. 42
DOS at the Fermi energy: 2.44 states/eV/f.u.
Energy: -9.06 eV/cell
Crystal system: orthorhombic

Cell: 7.802 7.808 3.818 Å, 75.76 75.93 28.31°
Fractional coordinates of all 3 atoms:
Ba (0.957, 0.957, 0.043)
Ni (0.331, 0.331, 0.669)
Sr (0.712, 0.712, 0.288)



(8)
Density functional theory data (PBE) for a geometry-optimized BaSr2Ni structure.

Summary:
Polymorph energy (0 for the lowest one): 0.022 eV/atom
Symmetry: No. 63
DOS at the Fermi energy: 2.46 states/eV/f.u.
Energy: -22.00 eV/cell
Crystal system: orthorhombic

Cell: 4.284 7.430 10.587 Å, 90.00 90.00 106.75°
Fractional coordinates of all 8 atoms:
Ba (0.912, 0.824, 0.250)
Ba (0.088, 0.176, 0.750)
Sr (0.349, 0.698, 0.574)
Sr (0.651, 0.302, 0.426)
Sr (0.349, 0.698, 0.926)
Sr (0.651, 0.302, 0.074)
Ni (0.745, 0.490, 0.750)
Ni (0.255, 0.510, 0.250)



(9)
Density functional theory data (PBE) for a geometry-optimized BaSr3Ni structure.

Summary:
Polymorph energy (0 for the lowest one): 0.029 eV/atom
Symmetry: No. 221
DOS at the Fermi energy: 5.31 states/eV/f.u.
Energy: -12.72 eV/cell
Crystal system: cubic

Cell: 6.063 6.063 6.063 Å, 90.00 90.00 90.00°
Fractional coordinates of all 5 atoms:
Sr (0.000, 0.500, 0.000)
Sr (0.000, 0.000, 0.500)
Sr (0.500, 0.000, 0.000)
Ba (0.500, 0.500, 0.500)
Ni (0.000, 0.000, 0.000)



(10)
Density functional theory data (PBE) for a geometry-optimized BaSrNi2 structure.

Summary:
Polymorph energy (0 for the lowest one): 0.441 eV/atom
Symmetry: No. 122
DOS at the Fermi energy: 0.80 states/eV/f.u.
Energy: -26.71 eV/cell
Crystal system: tetragonal

Cell: 7.949 7.949 6.574 Å, 52.80 52.80 90.00°
Fractional coordinates of all 8 atoms:
Sr (0.500, 0.500, 0.000)
Sr (0.250, 0.750, 0.500)
Ba (0.000, 0.000, 0.000)
Ba (0.750, 0.250, 0.500)
Ni (0.624, 0.125, 0.250)
Ni (0.126, 0.625, 0.250)
Ni (0.375, 0.376, 0.750)
Ni (0.875, 0.874, 0.750)



(11)
Density functional theory data (PBE) for a geometry-optimized BaSr2Ni structure.

Summary:
Polymorph energy (0 for the lowest one): 0.425 eV/atom
Symmetry: No. 225
DOS at the Fermi energy: 5.15 states/eV/f.u.
Energy: -9.39 eV/cell
Crystal system: cubic

Cell: 5.843 5.843 5.843 Å, 60.00 60.00 60.00°
Fractional coordinates of all 4 atoms:
Sr (0.250, 0.250, 0.250)
Sr (0.750, 0.750, 0.750)
Ba (0.500, 0.500, 0.500)
Ni (0.000, 0.000, 0.000)



(12)
Density functional theory data (PBE) for a geometry-optimized BaSr2Ni structure.

Summary:
Polymorph energy (0 for the lowest one): 0.395 eV/atom
Symmetry: No. 122
DOS at the Fermi energy: 1.75 states/eV/f.u.
Energy: -19.02 eV/cell
Crystal system: tetragonal

Cell: 8.676 8.676 8.653 Å, 59.91 59.91 90.00°
Fractional coordinates of all 8 atoms:
Sr (0.381, 0.125, 0.250)
Sr (0.369, 0.625, 0.250)
Sr (0.375, 0.619, 0.750)
Sr (0.875, 0.631, 0.750)
Ba (0.000, 0.000, 0.000)
Ba (0.750, 0.250, 0.500)
Ni (0.500, 0.500, 0.000)
Ni (0.250, 0.750, 0.500)